The following is a meta-GGA SCAN calculation of Al3Te at its PBEsol-relaxed geometry, from Alexandria.

a = 4.333 Å, b = 4.333 Å, c = 4.333 Å
α = 90.00°, β = 90.00°, γ = 90.00°
Sites, in units of the cell vectors:
1 Al 0.000 0.000 0.500
2 Al 0.000 0.500 0.000
3 Al 0.500 0.000 0.000
4 Te 0.500 0.500 0.500

Values from the calculation:
Formation energy (no corrections)   236.7 meV per atom
M_tot   0.0001 μB/atom
Final energy   -14.89 eV per atom
DOS at the Fermi energy   1.92 states/eV per cell
Calculated volume   81.4 Å³/cell
E above lowest polymorph   0.28 eV per formula unit